(1)
Ba3YHg PBE relaxed; energy of formation = 0.205 eV/atom
1.0
6.525 0.000 0.000
0.000 6.525 0.000
0.000 0.000 6.525
Ba Y Hg
3 1 1
direct
0.000 0.000 0.500
0.000 0.500 0.000
0.500 0.000 0.000
0.500 0.500 0.500
0.000 0.000 0.000

***

(2)
As3Rh PBE relaxed; energy of formation = -0.039 eV/atom
1.0
4.209 -5.329 0.000
4.209 5.329 0.000
0.000 0.000 3.893
As Rh
6 2
direct
0.194 0.394 0.750
0.231 0.769 0.750
0.394 0.194 0.250
0.606 0.806 0.750
0.769 0.231 0.250
0.806 0.606 0.250
0.403 0.597 0.250
0.597 0.403 0.750

***

(3)
MnTeS2 PBE relaxed; energy relative to the elements, uncorrected = -0.128 eV per atom
1.0
6.300 0.000 0.000
0.000 4.052 0.000
-4.541 0.000 13.689
Mn Te S
4 4 8
direct
0.056 0.192 0.471
0.056 0.308 0.971
0.944 0.692 0.029
0.944 0.808 0.529
0.129 0.033 0.714
0.129 0.467 0.214
0.871 0.533 0.786
0.871 0.967 0.286
0.247 0.008 0.095
0.247 0.492 0.595
0.357 0.002 0.438
0.357 0.498 0.938
0.643 0.502 0.062
0.643 0.998 0.562
0.753 0.508 0.405
0.753 0.992 0.905

***

(4)
Tb4Pd7Pb PBE relaxed; energy of formation = -0.654 eV/atom
1.0
5.448 -2.626 0.000
5.448 2.626 0.000
-5.286 0.000 9.102
Tb Pd Pb
4 7 1
direct
0.093 0.093 0.284
0.289 0.289 0.867
0.711 0.711 0.133
0.907 0.907 0.716
0.000 0.000 0.500
0.134 0.134 0.024
0.286 0.286 0.594
0.426 0.426 0.184
0.574 0.574 0.816
0.714 0.714 0.406
0.866 0.866 0.976
0.500 0.500 0.500

***

(5)
NbCdCu PBE relaxed; energy of formation = 0.151 eV/atom
1.0
2.812 0.000 0.000
0.000 4.583 0.000
-0.798 0.000 8.017
Nb Cd Cu
2 2 2
direct
0.150 0.250 0.092
0.850 0.750 0.908
0.263 0.750 0.574
0.737 0.250 0.426
0.403 0.250 0.776
0.597 0.750 0.224

***

(6)
TbDy2ScTl2 PBE relaxed; energy of formation = -0.262 eV/atom
1.0
4.955 0.000 0.000
0.000 9.771 0.000
0.000 0.000 6.889
Tb Dy Sc Tl
2 4 2 4
direct
0.000 0.048 0.000
0.000 0.952 0.500
0.000 0.311 0.389
0.000 0.689 0.889
0.500 0.451 0.100
0.500 0.549 0.600
0.500 0.195 0.711
0.500 0.805 0.211
0.000 0.362 0.839
0.000 0.638 0.339
0.500 0.120 0.273
0.500 0.880 0.773

***

(7)
Cs3HICl PBE relaxed; electronic total energy = -0.101 hartree per atom
1.0
9.589 0.000 0.000
0.000 5.444 0.000
-3.833 0.000 10.679
Cs H I Cl
6 2 2 2
direct
0.001 0.250 0.194
0.315 0.750 0.466
0.414 0.250 0.136
0.586 0.750 0.864
0.685 0.250 0.534
0.999 0.750 0.806
0.353 0.250 0.372
0.647 0.750 0.628
0.262 0.250 0.740
0.738 0.750 0.260
0.185 0.750 0.120
0.815 0.250 0.880

***

(8)
LaSmTlAu PBE relaxed; energy of formation = -0.543 eV/atom
1.0
0.000 3.838 3.838
3.838 0.000 3.838
3.838 3.838 0.000
La Sm Tl Au
1 1 1 1
direct
0.000 0.000 0.000
0.500 0.500 0.500
0.250 0.250 0.250
0.750 0.750 0.750

***

(9)
BaTaCu PBE relaxed; energy of formation = 0.595 eV/atom
1.0
6.432 -1.626 0.000
6.432 1.626 0.000
-2.103 0.000 7.170
Ba Ta Cu
2 2 2
direct
0.000 0.000 0.000
0.000 0.000 0.500
0.277 0.277 0.653
0.723 0.723 0.347
0.293 0.293 0.122
0.707 0.707 0.878

***

(10)
Pa2AlRe PBE relaxed; energy of formation = -0.124 eV/atom
1.0
4.377 0.000 0.000
0.000 4.377 0.000
0.000 0.000 4.244
Pa Al Re
2 1 1
direct
0.000 0.500 0.000
0.500 0.000 0.000
0.000 0.000 0.500
0.500 0.500 0.500

***

(11)
SmHg2Se PBE relaxed; energy relative to the elements, uncorrected = 0.156 eV per atom
1.0
1.779 1.027 10.617
-1.779 1.027 10.617
0.000 -2.054 10.617
Sm Hg Se
1 2 1
direct
0.000 0.000 0.000
0.096 0.096 0.096
0.904 0.904 0.904
0.500 0.500 0.500

***

(12)
Hg2TePt PBE relaxed; energy relative to the elements, uncorrected = 0.141 eV per atom
1.0
2.036 -2.517 0.000
2.036 2.517 0.000
0.000 0.000 9.335
Hg Te Pt
2 1 1
direct
0.000 0.000 0.000
0.500 0.500 0.266
0.500 0.500 0.676
0.000 0.000 0.484

***

(13)
KBa2Se PBE relaxed; energy relative to the elements, uncorrected = -0.777 eV per atom
1.0
-2.183 3.524 7.106
2.183 -3.524 7.106
2.183 3.524 -7.106
K Ba Se
1 2 1
direct
0.000 0.000 0.000
0.334 0.834 0.500
0.666 0.166 0.500
0.500 0.500 0.000